--- i ---
# Li2HoSc

Li2HoSc after structural relaxation (PBE, the Alexandria database).

Lattice parameters (Å, degrees): 3.5848 3.5848 7.1645 90.00 90.00 90.00
Space group P4/mmm (No. 123)
One atom of each set of equivalent atoms:
Li: 0.0000 0.0000 0.2345
Ho: 0.5000 0.5000 0.5000
Sc: 0.5000 0.5000 0.0000

Summary:
crystal system: tetragonal

---

--- ii ---
# Li2HoSc

Li2HoSc after structural relaxation (PBE, the Alexandria database).

Lattice parameters (Å, degrees): 3.1973 3.1973 34.6938 90.00 90.00 120.00
Space group R-3m (No. 166, hexagonal axes)
One atom of each set of equivalent atoms:
Li: 0.0000 0.0000 0.0860
Ho: 0.0000 0.0000 0.5000
Sc: 0.0000 0.0000 0.0000

Summary:
crystal system: trigonal

---

Which structure is the most stable? The one labeled i.

---

--- i ---
# Li6HoSn6

Li6HoSn6 after structural relaxation (PBE, the Alexandria database).

Lattice parameters (Å, degrees): 5.7932 5.7932 9.3100 90.00 90.00 120.00
Space group P6/mmm (No. 191)
One atom of each set of equivalent atoms:
Li: 0.0000 0.5000 0.2461
Ho: 0.0000 0.0000 0.0000
Sn: 0.0000 0.0000 0.3460
Sn: 0.3333 0.6667 0.0000
Sn: 0.3333 0.6667 0.5000

Summary:
crystal system: hexagonal

---

--- ii ---
# Li6HoSn6

Li6HoSn6 after structural relaxation (PBE, the Alexandria database).

Lattice parameters (Å, degrees): 5.7141 9.4193 9.9658 90.00 90.00 90.00
Space group Immm (No. 71)
One atom of each set of equivalent atoms:
Li: 0.0000 0.2487 0.0000
Li: 0.2500 0.2500 0.2500
Ho: 0.0000 0.0000 0.5000
Sn: 0.0000 0.0000 0.1677
Sn: 0.0000 0.3455 0.5000
Sn: 0.0000 0.5000 0.1617

Summary:
crystal system: orthorhombic

---

Which structure is the most stable? The one labeled ii.

---

--- i ---
# Sr2LiHo

Sr2LiHo after structural relaxation (PBE, the Alexandria database).

Lattice parameters (Å, degrees): 4.2545 4.2545 8.5819 90.00 90.00 90.00
Space group P4/mmm (No. 123)
One atom of each set of equivalent atoms:
Sr: 0.0000 0.0000 0.2391
Li: 0.5000 0.5000 0.0000
Ho: 0.5000 0.5000 0.5000

Summary:
crystal system: tetragonal

---

--- ii ---
# Sr2LiHo

Sr2LiHo after structural relaxation (PBE, the Alexandria database).

Lattice parameters (Å, degrees): 3.7576 3.7576 38.7822 90.00 90.00 120.00
Space group R-3m (No. 166, hexagonal axes)
One atom of each set of equivalent atoms:
Sr: 0.0000 0.0000 0.0907
Li: 0.0000 0.0000 0.5000
Ho: 0.0000 0.0000 0.0000

Summary:
crystal system: trigonal

---

Which structure is the most stable? The one labeled i.